No. 1
Here is a geometry-optimized PmEr structure from the Open Quantum Materials Database. Energies are from PBE.

a = 3.615 Å, b = 3.615 Å, c = 5.783 Å
α = 90.00°, β = 90.00°, γ = 120.00°
Fractional coordinates of all 2 atoms:
1 Er 0.667 0.333 0.750
2 Pm 0.333 0.667 0.250

**Energy above the lowest structure with this stoichiometry**: 0 meV/atom
**Total magnetic moment**: 0.08 μB/cell
**Energy of formation from the pure elements**: 5 kJ/mol of formula units

No. 2
Here is a geometry-optimized Rb2SnPdF6 structure from the Open Quantum Materials Database. Energies are from PBE.

a = 6.159 Å, b = 6.159 Å, c = 6.159 Å
α = 60.00°, β = 60.00°, γ = 60.00°
Fractional coordinates of all 10 atoms:
1 Sn 0.000 0.000 0.000
2 Rb 0.750 0.750 0.750
3 F 0.244 0.756 0.244
4 F 0.756 0.244 0.244
5 F 0.756 0.244 0.756
6 Pd 0.500 0.500 0.500
7 Rb 0.250 0.250 0.250
8 F 0.244 0.244 0.756
9 F 0.756 0.756 0.244
10 F 0.244 0.756 0.756

**VASP energy**: -4.35 eV/atom